# MgMnSe3

A PBEsol-optimized structure of MgMnSe3 (SCAN, Alexandria).

Lattice parameters (Å, degrees): 4.776 4.776 4.776 90.00 90.00 90.00
Space group Pm-3m (No. 221)
Symmetry-distinct sites (fractional):
Mg  0.000  0.000  0.000 x1
Mn  0.500  0.500  0.500 x1
Se  0.000  0.500  0.500 x3

E_tot = -16.98 eV/atom